First-principles (PBE) data for Na2TiSnF8 after structural relaxation, as listed in Alexandria.

Cell lengths 5.095, 7.175, 5.126 Å; angles 90.00, 90.56, 90.00 degrees
Fractional positions:
1 Na 0.000 0.247 0.000
2 Na 0.000 0.753 0.000
3 Ti 0.500 0.000 0.500
4 Sn 0.500 0.500 0.500
5 F 0.190 0.500 0.195
6 F 0.236 0.000 0.240
7 F 0.321 0.194 0.682
8 F 0.321 0.806 0.682
9 F 0.679 0.194 0.318
10 F 0.679 0.806 0.318
11 F 0.764 0.000 0.760
12 F 0.810 0.500 0.805

Output
E_form (uncorrected) ... -2.9200 eV per atom
Symmetry ... P2/m
N(E_F) ... 0.00 states/eV/f.u.
Size of the total moment ... 0.00 Bohr magnetons per cell